Entry 1:
{"formula": "CePm4Pb3", "functional": "GGA-PBE", "state": "relaxed", "cell": [[4.496, 0.000, 0.000], [0.000, 5.007, -0.045], [-2.248, -2.995, 10.944]], "species": ["Ce", "Pm", "Pm", "Pm", "Pm", "Pb", "Pb", "Pb"], "frac_coords": [[0.500, 0.000, 0.000], [0.381, 0.409, 0.762], [0.619, 0.591, 0.238], [0.745, 0.240, 0.489], [0.255, 0.760, 0.511], [0.000, 0.500, 0.000], [0.131, 0.104, 0.263], [0.869, 0.896, 0.737]], "dft_energy_ev_per_atom": -4.89, "e_form_mev_per_atom": -383, "magnetic_moment_mub_per_cell": 1.18, "space_group": "No. 12", "density_g_cm3": 9.1}



Entry 2:
{"formula": "Ce2PmPb", "functional": "GGA-PBE", "state": "relaxed", "cell": [[-2.317, 3.329, 2.107], [-2.706, 0.328, -3.495], [-6.044, -9.272, 3.811]], "species": ["Ce", "Ce", "Ce", "Ce", "Pm", "Pm", "Pb", "Pb"], "frac_coords": [[0.608, 0.250, 0.112], [0.392, 0.750, 0.888], [0.996, 0.750, 0.112], [0.004, 0.250, 0.888], [0.698, 0.750, 0.388], [0.302, 0.250, 0.612], [0.180, 0.250, 0.328], [0.820, 0.750, 0.672]], "dft_energy_ev_per_atom": -5.38, "de_polymorph_mev_per_atom": 0.0, "e_form_mev_per_atom": -302, "magnetic_moment_mub_per_cell": 0.00, "space_group": "No. 11", "density_g_cm3": 9.0}